(1)
Compound: La4Pm2Er3
Source: Alexandria
Functional: PBE
Structure: relaxed

Cell and atoms, written as extended XYZ:
```
9
Lattice="-2.351 -1.467 2.465 -3.853 -7.531 -8.154 7.040 -0.962 6.026" Properties=species:S:1:pos:R:3 pbc="T T T"
Er -3.102 -4.499 -2.844
Er 0.514 -8.692 -0.680
Er 0.323 -1.267 1.018
La -3.403 -7.979 -3.666
La 2.338 -5.697 -0.021
La -1.501 -4.262 0.359
La 4.239 -1.980 4.004
Pm -0.292 -6.073 -2.718
Pm 1.128 -3.886 3.056
```

As for the total magnetization: 0.000 μB/atom.


(2)
Compound: La4Pm2Er3
Source: Alexandria
Functional: PBE
Structure: relaxed

Cell and atoms, written as extended XYZ:
```
9
Lattice="3.633 0.000 0.000 -1.817 3.147 0.000 0.000 0.000 27.331" Properties=species:S:1:pos:R:3 pbc="T T T"
La 0.000 0.000 14.985
La 1.817 1.049 5.932
La 0.000 0.000 20.823
La 1.817 1.049 11.725
Er 1.817 1.049 17.890
Er 0.000 0.000 26.841
Er 0.000 0.000 8.803
Pm 1.817 1.049 2.311
Pm 1.817 1.049 23.985
```

As for the total magnetization: 0.000 μB/atom.


Which structure is most stable? (2), by 64 meV per atom over the runner-up.


(1)
Compound: La7PmEr3
Source: Alexandria
Functional: PBE
Structure: relaxed

Cell and atoms, written as extended XYZ:
```
11
Lattice="-0.735 -0.965 6.375 -0.127 -7.634 -1.836 7.762 -1.218 0.042" Properties=species:S:1:pos:R:3 pbc="T T T"
La 6.996 -5.786 0.670
La 2.748 -1.717 4.589
La 5.258 -7.527 3.653
La 4.152 -8.100 -0.007
La 3.817 -4.426 -0.897
La -0.096 -4.031 3.912
La 1.642 -2.290 0.929
Er 1.185 -6.567 -1.522
Er -0.367 -0.482 3.188
Er 5.715 -3.250 6.104
Pm 3.450 -4.909 2.291
```

As for the total magnetization: 0.000 μB/atom.


(2)
Compound: La7PmEr3
Source: Alexandria
Functional: PBE
Structure: relaxed

Cell and atoms, written as extended XYZ:
```
11
Lattice="8.641 0.000 0.000 0.000 7.297 0.000 0.000 -3.649 6.320" Properties=species:S:1:pos:R:3 pbc="T T T"
La 0.854 1.851 5.282
La 1.145 3.649 2.107
La 0.854 -1.851 5.282
La 4.034 3.649 4.247
La 4.034 1.795 1.037
La 4.034 5.502 1.037
La 0.854 0.000 2.076
Er 6.762 1.820 3.163
Er 6.762 0.000 6.315
Er 6.762 -1.820 3.163
Pm 3.787 0.000 4.213
```

As for the total magnetization: 0.000 μB/atom.


Which structure is most stable? (2), by 43 meV per atom over the runner-up.